[1]
LaPmSc2 after structural relaxation, computed with PBE-GGA.

SG = No. 65
V = 29.6 Å³/atom
magnetic moment = 0.000 μB per atom
formation energy from the elements = 53 meV per atom
energy above the most stable polymorph in this dataset = 0.0 meV/atom

Cell lengths 3.628, 5.784, 5.784 Å; angles 102.44, 90.00, 90.00 degrees
Atoms (fractional coordinates):
Pm: 0.500 0.000 0.000
Sc: 0.000 0.000 0.500
Sc: 0.000 0.500 0.000
La: 0.500 0.500 0.500

[2]
La2Pm7Sc after structural relaxation, computed with PBE-GGA.

SG = No. 65
V = 34.2 Å³/atom
magnetic moment = 0.000 μB per atom
formation energy from the elements = 164 meV per atom

Cell lengths 3.474, 14.990, 14.990 Å; angles 154.00, 90.00, 90.00 degrees
Atoms (fractional coordinates):
Pm: 0.500 0.665 0.856
Pm: 0.500 0.144 0.335
Pm: 0.000 0.813 0.187
Pm: 0.000 0.187 0.813
Pm: 0.500 0.500 0.500
Pm: 0.500 0.856 0.665
Pm: 0.500 0.335 0.144
La: 0.500 0.703 0.297
La: 0.500 0.297 0.703
Sc: 0.000 0.000 0.000

Please write out number 1 again, unchanged.
LaPmSc2 after structural relaxation, computed with PBE-GGA.

SG = No. 65
V = 29.6 Å³/atom
magnetic moment = 0.000 μB per atom
formation energy from the elements = 53 meV per atom
energy above the most stable polymorph in this dataset = 0.0 meV/atom

Cell lengths 3.628, 5.784, 5.784 Å; angles 102.44, 90.00, 90.00 degrees
Atoms (fractional coordinates):
Pm: 0.500 0.000 0.000
Sc: 0.000 0.000 0.500
Sc: 0.000 0.500 0.000
La: 0.500 0.500 0.500